1.
DFT (PBE-GGA) results for a relaxed TaCrFe2 crystal.

The structure belongs to space group I-42d (No. 122); the cell edges are 6.545, 6.545 and 5.080 Å and the angles 90.00°, 90.00° and 90.00°. The asymmetric unit holds Ta at (0.000, 0.000, 0.000), Cr at (0.000, 0.000, 0.500) and Fe at (0.216, 0.750, 0.625).

The calculation puts the energy of formation from the pure elements at 0.51 eV/atom. The value obtained for the calculated density is 10.52 g/cm³.

***

2.
DFT (PBE-GGA) results for a relaxed Ti2VIrBr crystal.

The structure belongs to space group P4/mmm (No. 123); the cell edges are 4.591, 4.591 and 4.443 Å and the angles 90.00°, 90.00° and 90.00°. The asymmetric unit holds Ti at (0.000, 0.500, 0.000), V at (0.000, 0.000, 0.000), Ir at (0.500, 0.500, 0.500) and Br at (0.000, 0.000, 0.500).

The uncorrected energy comes out at -6.082 eV per atom. The value obtained for the calculated density is 7.43 g/cm³.

***

3.
DFT (PBE-GGA) results for a relaxed CaSn6Pb2 crystal.

The structure belongs to space group C2/m (No. 12); the cell edges are 11.022, 6.365 and 7.758 Å and the angles 90.00°, 90.08° and 90.00°. The asymmetric unit holds Ca at (0.000, 0.000, 0.000), Sn at (0.085, 0.256, 0.335), Sn at (0.171, 0.000, 0.666) and Pb at (0.165, 0.500, 0.936).

The calculation puts the energy of formation from the pure elements at -0.03 eV/atom. The value obtained for the calculated density is 7.12 g/cm³.

***

4.
DFT (PBE-GGA) results for a relaxed LiBeN crystal.

The structure belongs to space group C2/m (No. 12); the cell edges are 6.857, 2.988 and 5.418 Å and the angles 90.00°, 107.95° and 90.00°. The asymmetric unit holds Li at (0.114, 0.000, 0.373), Be at (0.190, 0.500, 0.885) and N at (0.211, 0.000, 0.776).

The uncorrected energy comes out at -5.450 eV per atom. The value obtained for the calculated density is 1.88 g/cm³.

***

5.
DFT (PBE-GGA) results for a relaxed Zr2ScCd crystal.

The structure belongs to space group P4/mmm (No. 123); the cell edges are 5.228, 5.228 and 3.292 Å and the angles 90.00°, 90.00° and 90.00°. The asymmetric unit holds Zr at (0.000, 0.500, 0.000), Sc at (0.000, 0.000, 0.500) and Cd at (0.500, 0.500, 0.500).

The calculation puts the energy of formation from the pure elements at 0.05 eV/atom. The value obtained for the calculated density is 6.27 g/cm³.

***

6.
DFT (PBE-GGA) results for a relaxed Al2IrOs crystal.

The structure belongs to space group C2/m (No. 12); the cell edges are 8.303, 2.844 and 4.952 Å and the angles 90.00°, 101.29° and 90.00°. The asymmetric unit holds Al at (0.250, 0.000, 0.247), Ir at (0.000, 0.000, 0.500) and Os at (0.000, 0.500, 0.000).

The calculation puts the energy of formation from the pure elements at -0.39 eV/atom. The value obtained for the calculated density is 12.64 g/cm³.

***

7.
DFT (PBE-GGA) results for a relaxed Ta2Nb3Re crystal.

The structure belongs to space group Cmc2_1 (No. 36); the cell edges are 11.971, 9.125 and 4.248 Å and the angles 90.00°, 90.00° and 90.00°. The asymmetric unit holds Ta at (0.116, 0.098, 0.000), Nb at (0.000, 0.406, 0.121), Nb at (0.202, 0.381, 0.818) and Re at (0.000, 0.209, 0.551).

The calculation puts the energy of formation from the pure elements at 0.56 eV/atom. The value obtained for the calculated density is 11.84 g/cm³.

***

8.
DFT (PBE-GGA) results for a relaxed SrInRu2 crystal.

The structure belongs to space group P2/m (No. 10); the cell edges are 3.043, 4.559 and 6.245 Å and the angles 90.00°, 98.67° and 90.00°. The asymmetric unit holds Sr at (0.000, 0.000, 0.000), In at (0.500, 0.000, 0.500) and Ru at (0.270, 0.500, 0.678).

The calculation puts the energy of formation from the pure elements at 0.51 eV/atom. The value obtained for the calculated density is 7.84 g/cm³.

***

9.
DFT (PBE-GGA) results for a relaxed Zn5AgPd crystal.

The structure belongs to space group Imma (No. 74); the cell edges are 8.027, 8.143 and 6.933 Å and the angles 90.00°, 90.00° and 90.00°. The asymmetric unit holds Zn at (0.000, 0.250, 0.203), Zn at (0.213, 0.250, 0.495), Zn at (0.250, 0.003, 0.750), Ag at (0.000, 0.250, 0.814) and Pd at (0.000, 0.000, 0.500).

The calculation puts the energy of formation from the pure elements at -0.17 eV/atom. The value obtained for the calculated density is 7.93 g/cm³.

***

10.
DFT (PBE-GGA) results for a relaxed Re2NiHg crystal.

The structure belongs to space group P4/mmm (No. 123); the cell edges are 3.752, 3.752 and 4.343 Å and the angles 90.00°, 90.00° and 90.00°. The asymmetric unit holds Re at (0.000, 0.500, 0.000), Ni at (0.000, 0.000, 0.500) and Hg at (0.500, 0.500, 0.500).

The calculation puts the energy of formation from the pure elements at 0.65 eV/atom. The value obtained for the calculated density is 17.15 g/cm³.

***

11.
DFT (PBE-GGA) results for a relaxed AcLa2Tb6Dy3 crystal.

The structure belongs to space group C2/m (No. 12); the cell edges are 6.290, 10.900 and 11.967 Å and the angles 90.00°, 100.11° and 90.00°. The asymmetric unit holds Ac at (0.000, 0.000, 0.000), La at (0.000, 0.333, 0.000), Tb at (0.246, 0.333, 0.743), Tb at (0.248, 0.000, 0.743), Dy at (0.000, 0.167, 0.500) and Dy at (0.000, 0.500, 0.500).

The calculation puts the energy of formation from the pure elements at 0.03 eV/atom. The value obtained for the calculated density is 8.00 g/cm³.

***

12.
DFT (PBE-GGA) results for a relaxed IrRu2Au crystal.

The structure belongs to space group Imm2 (No. 44); the cell edges are 2.741, 4.664 and 9.726 Å and the angles 90.00°, 90.00° and 90.00°. The asymmetric unit holds Ir at (0.000, 0.000, 0.000), Ru at (0.000, 0.000, 0.453), Ru at (0.000, 0.500, 0.731) and Au at (0.000, 0.500, 0.226).

The calculation puts the energy of formation from the pure elements at 0.44 eV/atom. The value obtained for the calculated density is 15.79 g/cm³.

***

13.
DFT (PBE-GGA) results for a relaxed K2YRuCl crystal.

The structure belongs to space group P4/mmm (No. 123); the cell edges are 5.676, 5.676 and 4.714 Å and the angles 90.00°, 90.00° and 90.00°. The asymmetric unit holds K at (0.000, 0.500, 0.000), Y at (0.000, 0.000, 0.500), Ru at (0.500, 0.500, 0.500) and Cl at (0.500, 0.500, 0.000).

The uncorrected energy comes out at -3.431 eV per atom. The value obtained for the calculated density is 3.32 g/cm³.

***

14.
DFT (PBE-GGA) results for a relaxed YHf2As crystal.

The structure belongs to space group I-42d (No. 122); the cell edges are 8.245, 8.245 and 5.744 Å and the angles 90.00°, 90.00° and 90.00°. The asymmetric unit holds Y at (0.000, 0.000, 0.000), Hf at (0.187, 0.250, 0.625) and As at (0.000, 0.000, 0.500).

The calculation puts the energy of formation from the pure elements at -0.15 eV/atom. The value obtained for the calculated density is 8.86 g/cm³.

***

15.
DFT (PBE-GGA) results for a relaxed CaMn2Be crystal.

The structure belongs to space group C2/m (No. 12); the cell edges are 6.713, 3.877 and 5.679 Å and the angles 90.00°, 113.36° and 90.00°. The asymmetric unit holds Ca at (0.000, 0.000, 0.000), Mn at (0.181, 0.000, 0.542) and Be at (0.000, 0.500, 0.500).

The calculation puts the energy of formation from the pure elements at 0.31 eV/atom. The value obtained for the calculated density is 3.89 g/cm³.

***

16.
DFT (PBE-GGA) results for a relaxed K2ZrSbSe5 crystal.

The structure belongs to space group Cmc2_1 (No. 36); the cell edges are 4.139, 19.200 and 14.109 Å and the angles 90.00°, 90.00° and 90.00°. The asymmetric unit holds K at (0.000, 0.118, 0.000), K at (0.000, 0.136, 0.642), Zr at (0.000, 0.213, 0.361), Sb at (0.000, 0.452, 0.757), Se at (0.000, 0.052, 0.384), Se at (0.000, 0.293, 0.981), Se at (0.000, 0.317, 0.723), Se at (0.000, 0.339, 0.322) and Se at (0.000, 0.496, 0.091).

The uncorrected energy comes out at -4.492 eV per atom. The value obtained for the calculated density is 4.06 g/cm³.

***

17.
DFT (PBE-GGA) results for a relaxed LaPr3NdDy crystal.

The structure belongs to space group P2_1/m (No. 11); the cell edges are 8.221, 5.238 and 10.432 Å and the angles 90.00°, 108.48° and 90.00°. The asymmetric unit holds La at (0.169, 0.250, 0.291), Pr at (0.169, 0.750, 0.544), Pr at (0.170, 0.250, 0.794), Pr at (0.172, 0.750, 0.041), Nd at (0.500, 0.250, 0.627) and Dy at (0.498, 0.750, 0.877).

The calculation puts the energy of formation from the pure elements at 0.02 eV/atom. The value obtained for the calculated density is 6.77 g/cm³.

***

18.
DFT (PBE-GGA) results for a relaxed CePmPuN3 crystal.

The structure belongs to space group P2_1/m (No. 11); the cell edges are 7.149, 3.478 and 8.628 Å and the angles 90.00°, 94.44° and 90.00°. The asymmetric unit holds Ce at (0.108, 0.250, 0.353), Pm at (0.385, 0.750, 0.656), Pu at (0.311, 0.750, 0.060), N at (0.124, 0.250, 0.603), N at (0.351, 0.750, 0.359) and N at (0.382, 0.250, 0.909).

The uncorrected energy comes out at -9.512 eV per atom. The value obtained for the calculated density is 8.87 g/cm³.

***

19.
DFT (PBE-GGA) results for a relaxed LiFeSn crystal.

The structure belongs to space group Immm (No. 71); the cell edges are 3.710, 3.953 and 13.986 Å and the angles 90.00°, 90.00° and 90.00°. The asymmetric unit holds Li at (0.000, 0.000, 0.161), Fe at (0.000, 0.500, 0.000), Fe at (0.000, 0.500, 0.500) and Sn at (0.000, 0.000, 0.364).

The calculation puts the energy of formation from the pure elements at -0.03 eV/atom. The value obtained for the calculated density is 5.88 g/cm³.

***

20.
DFT (PBE-GGA) results for a relaxed Tc2SnHI crystal.

The structure belongs to space group P4/mmm (No. 123); the cell edges are 5.123, 5.123 and 3.535 Å and the angles 90.00°, 90.00° and 90.00°. The asymmetric unit holds Tc at (0.000, 0.500, 0.000), Sn at (0.000, 0.000, 0.000), H at (0.000, 0.000, 0.500) and I at (0.500, 0.500, 0.500).

The uncorrected energy comes out at -4.559 eV per atom. The value obtained for the calculated density is 7.92 g/cm³.

***

21.
DFT (PBE-GGA) results for a relaxed SmDy2MoN4 crystal.

The structure belongs to space group Cmcm (No. 63); the cell edges are 3.421, 11.740 and 11.832 Å and the angles 90.00°, 90.00° and 90.00°. The asymmetric unit holds Sm at (0.000, 0.102, 0.250), Dy at (0.000, 0.370, 0.039), Mo at (0.000, 0.158, 0.750), N at (0.000, 0.000, 0.000), N at (0.000, 0.264, 0.625) and N at (0.000, 0.446, 0.250).

The uncorrected energy comes out at -8.391 eV per atom. The value obtained for the calculated density is 8.77 g/cm³.

***

22.
DFT (PBE-GGA) results for a relaxed La2BiTe2 crystal.

The structure belongs to space group P4/mbm (No. 127); the cell edges are 8.965, 8.965 and 4.146 Å and the angles 90.00°, 90.00° and 90.00°. The asymmetric unit holds La at (0.161, 0.339, 0.000), Bi at (0.000, 0.000, 0.000) and Te at (0.138, 0.638, 0.500).

The uncorrected energy comes out at -5.232 eV per atom. The value obtained for the calculated density is 7.39 g/cm³.

***

23.
DFT (PBE-GGA) results for a relaxed Pu2Mn2Si2N crystal.

The structure belongs to space group C2/m (No. 12); the cell edges are 10.792, 3.756 and 6.947 Å and the angles 90.00°, 128.80° and 90.00°. The asymmetric unit holds Pu at (0.064, 0.000, 0.287), Mn at (0.198, 0.500, 0.078), Si at (0.149, 0.500, 0.691) and N at (0.000, 0.500, 0.000).

The uncorrected energy comes out at -10.072 eV per atom. The value obtained for the calculated density is 10.11 g/cm³.

***

24.
DFT (PBE-GGA) results for a relaxed ZnFePb crystal.

The structure belongs to space group I4mm (No. 107); the cell edges are 3.302, 3.302 and 10.381 Å and the angles 90.00°, 90.00° and 90.00°. The asymmetric unit holds Zn at (0.000, 0.000, 0.000), Fe at (0.000, 0.000, 0.403) and Pb at (0.000, 0.000, 0.715).

The calculation puts the energy of formation from the pure elements at 0.41 eV/atom. The value obtained for the calculated density is 9.64 g/cm³.